Here is crystalline MgNbSe2 at its relaxed geometry from the Alexandria database. Energies are from PBE-GGA.

a = 6.0982 Å, b = 6.0982 Å, c = 7.2631 Å
α = 65.18°, β = 65.18°, γ = 90.00°
Last column: magnetic moment on the atom in μB.
Fractional coordinates of all 8 atoms:
Nb 0.7500 0.2500 0.5000  2.11
Se 0.8750 0.8709 0.7500  -0.01
Mg 0.2500 0.7500 0.5000  0.03
Nb 0.0000 0.0000 0.0000  2.12
Se 0.6209 0.1250 0.2500  -0.01
Se 0.1291 0.6250 0.2500  -0.01
Se 0.3750 0.3791 0.7500  -0.01
Mg 0.5000 0.5000 0.0000  0.03

Properties
DFT total energy in eV/atom: -5.07

=====

Here is crystalline DyZnSb2 at its relaxed geometry from the Alexandria database. Energies are from PBE-GGA.

a = 4.1864 Å, b = 4.8046 Å, c = 4.8046 Å
α = 90.00°, β = 90.00°, γ = 90.00°
Fractional coordinates of all 4 atoms:
Sb 0.0000 0.5000 0.0000
Sb 0.0000 0.0000 0.5000
Dy 0.5000 0.0000 0.0000
Zn 0.5000 0.5000 0.5000

Properties
DFT total energy in eV/atom: -3.95

=====

Here is crystalline TiNb2Cu at its relaxed geometry from the Alexandria database. Energies are from PBE-GGA.

a = 7.2723 Å, b = 7.2723 Å, c = 5.7778 Å
α = 51.00°, β = 51.00°, γ = 90.00°
Fractional coordinates of all 8 atoms:
Nb 0.8750 0.8958 0.7500
Ti 0.2500 0.7500 0.5000
Nb 0.6458 0.1250 0.2500
Ti 0.5000 0.5000 0.0000
Cu 0.0000 0.0000 0.0000
Cu 0.7500 0.2500 0.5000
Nb 0.3750 0.3542 0.7500
Nb 0.1042 0.6250 0.2500

Properties
Energy of formation from the pure elements in eV per atom: 0.425

=====

Here is crystalline VHgTe3 at its relaxed geometry from the Alexandria database. Energies are from PBE-GGA.

a = 5.2647 Å, b = 5.2647 Å, c = 5.2647 Å
α = 90.00°, β = 90.00°, γ = 90.00°
Last column: magnetic moment on the atom in μB.
Fractional coordinates of all 5 atoms:
Te 0.0000 0.0000 0.5000  -0.05
Te 0.0000 0.5000 0.0000  -0.05
Hg 0.5000 0.5000 0.5000  -0.03
V 0.0000 0.0000 0.0000  0.53
Te 0.5000 0.0000 0.0000  -0.05

Properties
DFT total energy in eV/atom: -3.62

=====

Here is crystalline Ti2RuRh at its relaxed geometry from the Alexandria database. Energies are from PBE-GGA.

a = 6.7198 Å, b = 6.7198 Å, c = 5.5339 Å
α = 52.62°, β = 52.62°, γ = 90.00°
Fractional coordinates of all 8 atoms:
Ru 0.2500 0.7500 0.5000
Rh 0.0000 0.0000 0.0000
Ti 0.3750 0.3788 0.7500
Ti 0.8750 0.8712 0.7500
Ti 0.1288 0.6250 0.2500
Rh 0.7500 0.2500 0.5000
Ti 0.6212 0.1250 0.2500
Ru 0.5000 0.5000 0.0000

Properties
Energy of formation from the pure elements in eV per atom: -0.181

=====

Here is crystalline CaTb2CeAs4 at its relaxed geometry from the Alexandria database. Energies are from PBE-GGA.

a = 4.1890 Å, b = 7.2454 Å, c = 7.2040 Å
α = 70.93°, β = 90.00°, γ = 90.00°
Last column: magnetic moment on the atom in μB.
Fractional coordinates of all 8 atoms:
Tb 0.5000 0.0000 0.5000  -0.01
Tb 0.0000 0.0000 0.0000  0.00
As 0.0000 0.7523 0.7531  -0.01
As 0.5000 0.2460 0.7583  -0.01
As 0.0000 0.2477 0.2469  -0.01
Ca 0.0000 0.5000 0.5000  0.00
Ce 0.5000 0.5000 0.0000  0.20
As 0.5000 0.7540 0.2417  -0.01

Properties
Energy of formation from the pure elements in eV per atom: -1.402

=====

Here is crystalline CdOsAu2 at its relaxed geometry from the Alexandria database. Energies are from PBE-GGA.

a = 2.8352 Å, b = 2.8352 Å, c = 9.8735 Å
α = 90.00°, β = 90.00°, γ = 117.95°
Last column: magnetic moment on the atom in μB.
Fractional coordinates of all 4 atoms:
Au 0.0000 0.0000 0.9933  0.00
Os 0.5000 0.5000 0.7517  0.15
Au 0.5000 0.5000 0.2486  0.00
Cd 0.0000 0.0000 0.5064  0.00

Properties
Energy of formation from the pure elements in eV per atom: 0.410

=====

Here is crystalline Tb5DyHo2Tm at its relaxed geometry from the Alexandria database. Energies are from PBE-GGA.

a = 5.5653 Å, b = 10.2744 Å, c = 10.5135 Å
α = 90.00°, β = 90.00°, γ = 105.71°
Fractional coordinates of all 18 atoms:
Ho 0.8862 0.7724 0.8161
Tb 0.2994 0.5988 0.7076
Dy 0.5878 0.1755 0.9575
Tb 0.7191 0.4383 0.8111
Ho 0.1110 0.2219 0.7369
Tb 0.4802 0.9604 0.7399
Tm 0.1993 0.3986 0.0112
Tb 0.0180 0.0360 0.0213
Tm 0.8007 0.6014 0.5112
Dy 0.4122 0.8245 0.4575
Tb 0.5198 0.0396 0.2399
Tb 0.2809 0.5617 0.3111
Ho 0.1138 0.2276 0.3161
Tb 0.9820 0.9640 0.5213
Tb 0.6131 0.2262 0.5222
Tb 0.3869 0.7738 0.0222
Tb 0.7006 0.4012 0.2076
Ho 0.8890 0.7781 0.2369

Properties
Energy of formation from the pure elements in eV per atom: 0.154

=====

Here is crystalline InRe2AsH at its relaxed geometry from the Alexandria database. Energies are from PBE-GGA.

a = 5.2315 Å, b = 5.1983 Å, c = 5.2315 Å
α = 90.00°, β = 90.00°, γ = 90.00°
Last column: magnetic moment on the atom in μB.
Fractional coordinates of all 5 atoms:
In 0.0000 0.0000 0.0000  -0.04
Re 0.0000 0.0000 0.5000  3.19
H 0.5000 0.5000 0.5000  0.28
As 0.0000 0.5000 0.0000  -0.19
Re 0.5000 0.0000 0.0000  2.81

Properties
DFT total energy in eV/atom: -4.10

=====

Here is crystalline Pm5SmDy2Y at its relaxed geometry from the Alexandria database. Energies are from PBE-GGA.

a = 5.6692 Å, b = 10.5973 Å, c = 10.6799 Å
α = 90.00°, β = 90.00°, γ = 105.51°
Fractional coordinates of all 18 atoms:
Sm 0.2007 0.4014 0.0105
Pm 0.7023 0.4045 0.2059
Pm 0.6097 0.2194 0.5247
Pm 0.5203 0.0405 0.2421
Pm 0.2977 0.5955 0.7059
Dy 0.1117 0.2234 0.7363
Pm 0.0160 0.0320 0.0211
Dy 0.8845 0.7690 0.8163
Dy 0.8883 0.7766 0.2363
Sm 0.7993 0.5986 0.5105
Dy 0.1155 0.2310 0.3163
Pm 0.4797 0.9595 0.7421
Pm 0.9840 0.9680 0.5211
Pm 0.2797 0.5593 0.3098
Y 0.4096 0.8192 0.4572
Pm 0.7203 0.4407 0.8098
Pm 0.3903 0.7806 0.0247
Y 0.5904 0.1808 0.9572

Properties
Energy of formation from the pure elements in eV per atom: 0.149

=====

Here is crystalline CeDy6Sc2 at its relaxed geometry from the Alexandria database. Energies are from PBE-GGA.

a = 6.5969 Å, b = 9.3493 Å, c = 8.9529 Å
α = 98.39°, β = 95.63°, γ = 95.83°
Last column: magnetic moment on the atom in μB.
Fractional coordinates of all 18 atoms:
Dy 0.3147 0.3902 0.0690  0.03
Dy 0.0150 0.6091 0.2772  0.02
Dy 0.2358 0.9427 0.4978  0.03
Sc 0.3544 0.6061 0.5968  0.01
Sc 0.1340 0.2829 0.3813  0.03
Dy 0.7642 0.0573 0.5022  0.03
Ce 0.0930 0.0549 0.8477  0.61
Sc 0.6456 0.3939 0.4032  0.01
Dy 0.5805 0.9457 0.8193  0.03
Dy 0.7964 0.2770 0.0538  0.01
Dy 0.6853 0.6098 0.9310  0.03
Dy 0.2036 0.7230 0.9462  0.01
Sc 0.8660 0.7171 0.6187  0.03
Ce 0.9070 0.9451 0.1523  0.61
Dy 0.9850 0.3909 0.7228  0.02
Dy 0.5372 0.7211 0.2929  0.03
Dy 0.4195 0.0543 0.1807  0.03
Dy 0.4628 0.2789 0.7071  0.03

Properties
Energy of formation from the pure elements in eV per atom: 0.048

=====

Here is crystalline Na2Pt at its relaxed geometry from the Alexandria database. Energies are from PBE-GGA.

a = 4.9332 Å, b = 4.9332 Å, c = 6.1202 Å
α = 90.00°, β = 90.00°, γ = 120.00°
Fractional coordinates of all 6 atoms:
Pt 0.3333 0.6667 0.7500
Na 0.0000 0.0000 0.0000
Na 0.0000 0.0000 0.5000
Pt 0.6667 0.3333 0.2500
Na 0.6667 0.3333 0.7500
Na 0.3333 0.6667 0.2500

Properties
Energy of formation from the pure elements in eV per atom: -0.002